(1)
Crystalline Pm4Dy3Tm3 at its relaxed geometry, computed with PBE.

Total magnetization ... 0.00 μB per cell
DFT formation energy ... 0.0972 eV per atom
ρ ... 8.1 Mg/m³

Lattice parameters (Å, degrees): 3.783 9.264 9.264 90.09 90.00 90.00
Positions (direct):
Pm: 0.000 0.000 0.000
Pm: 0.000 0.260 0.260
Pm: 0.000 0.499 0.760
Pm: 0.000 0.760 0.499
Dy: 0.000 0.131 0.629
Dy: 0.000 0.629 0.131
Dy: 0.500 0.799 0.799
Tm: 0.500 0.299 0.962
Tm: 0.500 0.461 0.461
Tm: 0.500 0.962 0.299

***

(2)
Crystalline TcBr2Cl at its relaxed geometry, computed with PBE.

Total magnetization ... 5.01 μB per cell
ΔE to the lowest computed polymorph ... 3.607 eV per formula unit
ρ ... 4.5 Mg/m³

Lattice parameters (Å, degrees): 4.972 4.972 4.862 90.00 90.00 115.02
Positions (direct):
Tc: 0.000 0.000 0.000
Br: 0.000 0.500 0.500
Br: 0.500 0.000 0.500
Cl: 0.500 0.500 0.000

***

(3)
Crystalline PmScF5 at its relaxed geometry, computed with PBE.

Total magnetization ... 0.00 μB per cell
ρ ... 4.0 Mg/m³
Uncorrected energy ... -93.15 eV per cell

Lattice parameters (Å, degrees): 5.880 5.880 7.924 109.22 109.22 73.15
Positions (direct):
Pm: 0.021 0.979 0.750
Pm: 0.979 0.021 0.250
Sc: 0.500 0.500 0.000
Sc: 0.500 0.500 0.500
F: 0.180 0.815 0.017
F: 0.185 0.820 0.483
F: 0.255 0.270 0.382
F: 0.270 0.255 0.882
F: 0.357 0.643 0.750
F: 0.643 0.357 0.250
F: 0.730 0.745 0.118
F: 0.745 0.730 0.618
F: 0.815 0.180 0.517
F: 0.820 0.185 0.983

***

(4)
Crystalline UPbS2 at its relaxed geometry, computed with PBE.

Total magnetization ... 2.67 μB per cell
ΔE to the lowest computed polymorph ... 0.168 eV per formula unit
ρ ... 8.1 Mg/m³

Lattice parameters (Å, degrees): 8.602 8.602 8.602 25.51 25.51 25.51
Positions (direct):
U: 0.000 0.000 0.000
Pb: 0.160 0.160 0.160
S: 0.398 0.398 0.398
S: 0.603 0.603 0.603

***

(5)
Crystalline Sr2Cd3PbAu4 at its relaxed geometry, computed with PBE.

Total magnetization ... 0.00 μB per cell
DFT formation energy ... -0.4273 eV per atom
ρ ... 9.5 Mg/m³

Lattice parameters (Å, degrees): 4.709 4.709 11.841 90.00 90.00 90.00
Positions (direct):
Sr: 0.000 0.500 0.239
Sr: 0.500 0.000 0.761
Cd: 0.000 0.500 0.874
Cd: 0.500 0.000 0.126
Cd: 0.500 0.500 0.500
Pb: 0.000 0.000 0.500
Au: 0.000 0.000 0.000
Au: 0.000 0.500 0.646
Au: 0.500 0.000 0.354
Au: 0.500 0.500 0.000

***

(6)
Crystalline BaCdNiBi2 at its relaxed geometry, computed with PBE.

Total magnetization ... 0.00 μB per cell
DFT formation energy ... -0.2462 eV per atom
ρ ... 8.2 Mg/m³

Lattice parameters (Å, degrees): 5.375 5.375 5.122 90.00 90.00 90.00
Positions (direct):
Ba: 0.000 0.000 0.000
Cd: 0.500 0.500 0.000
Ni: 0.500 0.500 0.500
Bi: 0.000 0.500 0.500
Bi: 0.500 0.000 0.500

***

(7)
Crystalline CsS3F at its relaxed geometry, computed with PBE.

Total magnetization ... 0.00 μB per cell
ΔE to the lowest computed polymorph ... 6.959 eV per formula unit
ρ ... 3.7 Mg/m³

Lattice parameters (Å, degrees): 4.794 4.794 4.794 90.00 90.00 90.00
Positions (direct):
Cs: 0.000 0.000 0.000
S: 0.000 0.500 0.500
S: 0.500 0.000 0.500
S: 0.500 0.500 0.000
F: 0.500 0.500 0.500

***

(8)
Crystalline KInC at its relaxed geometry, computed with PBE.

Total magnetization ... 0.00 μB per cell
DFT formation energy ... 0.9851 eV per atom
ρ ... 3.2 Mg/m³

Lattice parameters (Å, degrees): 4.956 4.956 14.221 90.00 90.00 90.00
Positions (direct):
K: 0.000 0.109 0.000
K: 0.000 0.891 0.500
K: 0.109 0.000 0.750
K: 0.891 0.000 0.250
In: 0.418 0.418 0.375
In: 0.418 0.582 0.125
In: 0.582 0.418 0.625
In: 0.582 0.582 0.875
C: 0.219 0.500 0.250
C: 0.500 0.219 0.500
C: 0.500 0.781 0.000
C: 0.781 0.500 0.750

***

(9)
Crystalline Ga2PbAu4 at its relaxed geometry, computed with PBE.

Total magnetization ... 0.00 μB per cell
DFT formation energy ... -0.1354 eV per atom
ρ ... 13.1 Mg/m³

Lattice parameters (Å, degrees): 4.643 17.970 7.680 90.00 116.23 90.00
Positions (direct):
Ga: 0.047 0.048 0.222
Ga: 0.047 0.452 0.722
Ga: 0.176 0.206 0.063
Ga: 0.176 0.294 0.563
Ga: 0.824 0.706 0.437
Ga: 0.824 0.794 0.937
Ga: 0.953 0.548 0.278
Ga: 0.953 0.952 0.778
Pb: 0.224 0.635 0.884
Pb: 0.224 0.865 0.384
Pb: 0.776 0.135 0.616
Pb: 0.776 0.365 0.116
Au: 0.103 0.682 0.214
Au: 0.103 0.818 0.714
Au: 0.333 0.070 0.983
Au: 0.333 0.430 0.483
Au: 0.348 0.007 0.631
Au: 0.348 0.493 0.131
Au: 0.493 0.709 0.640
Au: 0.493 0.791 0.140
Au: 0.507 0.209 0.860
Au: 0.507 0.291 0.360
Au: 0.652 0.507 0.869
Au: 0.652 0.993 0.369
Au: 0.667 0.570 0.517
Au: 0.667 0.930 0.017
Au: 0.897 0.182 0.286
Au: 0.897 0.318 0.786

***

(10)
Crystalline Ac2HoInHg6 at its relaxed geometry, computed with PBE.

Total magnetization ... 0.00 μB per cell
DFT formation energy ... -0.0547 eV per atom
ρ ... 9.6 Mg/m³

Lattice parameters (Å, degrees): 7.796 7.796 7.796 60.00 60.00 60.00
Positions (direct):
Ac: 0.250 0.250 0.250
Ac: 0.750 0.750 0.750
Ho: 0.000 0.000 0.000
In: 0.500 0.500 0.500
Hg: 0.253 0.253 0.747
Hg: 0.253 0.747 0.253
Hg: 0.253 0.747 0.747
Hg: 0.747 0.253 0.253
Hg: 0.747 0.253 0.747
Hg: 0.747 0.747 0.253

***

(11)
Crystalline Ce2SmTi at its relaxed geometry, computed with PBE.

Total magnetization ... 0.00 μB per cell
DFT formation energy ... 0.3494 eV per atom
ΔE to the lowest computed polymorph ... 0.616 eV per formula unit
ρ ... 7.8 Mg/m³

Lattice parameters (Å, degrees): 11.966 11.966 11.966 15.15 15.15 15.15
Positions (direct):
Ce: 0.077 0.077 0.077
Ce: 0.923 0.923 0.923
Sm: 0.500 0.500 0.500
Ti: 0.000 0.000 0.000

***

(12)
Crystalline V2FePt at its relaxed geometry, computed with PBE.

Total magnetization ... 0.74 μB per cell
DFT formation energy ... -0.2973 eV per atom
ΔE to the lowest computed polymorph ... 0.090 eV per formula unit
ρ ... 11.1 Mg/m³

Lattice parameters (Å, degrees): 3.737 3.737 3.784 90.00 90.00 90.00
Positions (direct):
V: 0.000 0.500 0.000
V: 0.500 0.000 0.000
Fe: 0.000 0.000 0.500
Pt: 0.500 0.500 0.500

***

(13)
Crystalline Ac2Be3Ge4Pt at its relaxed geometry, computed with PBE.

Total magnetization ... 0.00 μB per cell
DFT formation energy ... -0.4611 eV per atom
ρ ... 8.5 Mg/m³

Lattice parameters (Å, degrees): 4.341 4.341 9.993 90.00 90.00 90.00
Positions (direct):
Ac: 0.000 0.500 0.249
Ac: 0.500 0.000 0.751
Be: 0.000 0.500 0.878
Be: 0.500 0.000 0.122
Be: 0.500 0.500 0.500
Ge: 0.000 0.000 0.000
Ge: 0.000 0.500 0.634
Ge: 0.500 0.000 0.366
Ge: 0.500 0.500 0.000
Pt: 0.000 0.000 0.500

***

(14)
Crystalline Pd4Au at its relaxed geometry, computed with PBE.

Total magnetization ... 0.69 μB per cell
DFT formation energy ... -0.0200 eV per atom
ΔE to the lowest computed polymorph ... 0.000 eV per formula unit
ρ ... 13.0 Mg/m³

Lattice parameters (Å, degrees): 7.487 7.487 7.487 158.16 149.32 37.98
Positions (direct):
Pd: 0.103 0.103 0.000
Pd: 0.298 0.298 0.000
Pd: 0.702 0.702 0.000
Pd: 0.897 0.897 0.000
Au: 0.500 0.500 0.000

***

(15)
Crystalline Ho2FeNi3Ge4 at its relaxed geometry, computed with PBE.

Total magnetization ... 0.00 μB per cell
DFT formation energy ... -0.6221 eV per atom
ρ ... 8.9 Mg/m³

Lattice parameters (Å, degrees): 4.014 4.014 9.868 90.00 90.00 90.00
Positions (direct):
Ho: 0.000 0.500 0.249
Ho: 0.500 0.000 0.751
Fe: 0.000 0.000 0.500
Ni: 0.000 0.500 0.868
Ni: 0.500 0.000 0.132
Ni: 0.500 0.500 0.500
Ge: 0.000 0.000 0.000
Ge: 0.000 0.500 0.631
Ge: 0.500 0.000 0.369
Ge: 0.500 0.500 0.000

***

(16)
Crystalline Tm8CS6 at its relaxed geometry, computed with PBE.

Total magnetization ... 0.00 μB per cell
ρ ... 8.2 Mg/m³
Uncorrected energy ... -86.71 eV per cell

Lattice parameters (Å, degrees): 9.638 9.638 3.909 90.00 90.00 120.00
Positions (direct):
Tm: 0.024 0.730 0.263
Tm: 0.270 0.293 0.263
Tm: 0.293 0.024 0.737
Tm: 0.333 0.667 0.745
Tm: 0.667 0.333 0.255
Tm: 0.707 0.976 0.263
Tm: 0.730 0.707 0.737
Tm: 0.976 0.270 0.737
C: 0.000 0.000 0.500
S: 0.130 0.475 0.246
S: 0.345 0.870 0.246
S: 0.475 0.345 0.754
S: 0.525 0.655 0.246
S: 0.655 0.130 0.754
S: 0.870 0.525 0.754

***

(17)
Crystalline TmCo2NiH8 at its relaxed geometry, computed with PBE.

Total magnetization ... 0.00 μB per cell
ρ ... 7.0 Mg/m³
Uncorrected energy ... -53.58 eV per cell

Lattice parameters (Å, degrees): 5.654 5.654 5.654 45.61 45.61 45.61
Positions (direct):
Tm: 0.000 0.000 0.000
Co: 0.204 0.204 0.204
Co: 0.796 0.796 0.796
Ni: 0.500 0.500 0.500
H: 0.136 0.819 0.403
H: 0.181 0.597 0.864
H: 0.308 0.308 0.308
H: 0.403 0.136 0.819
H: 0.597 0.864 0.181
H: 0.692 0.692 0.692
H: 0.819 0.403 0.136
H: 0.864 0.181 0.597

***

(18)
Crystalline Li2ErThSe4 at its relaxed geometry, computed with PBE.

Total magnetization ... 0.00 μB per cell
ρ ... 6.4 Mg/m³
Uncorrected energy ... -42.32 eV per cell

Lattice parameters (Å, degrees): 6.981 4.046 7.062 90.00 109.43 90.00
Positions (direct):
Li: 0.000 0.000 0.000
Li: 0.000 0.500 0.500
Er: 0.500 0.000 0.500
Th: 0.500 0.500 0.000
Se: 0.234 0.000 0.736
Se: 0.243 0.500 0.254
Se: 0.757 0.500 0.746
Se: 0.766 0.000 0.264

***

(19)
Crystalline TmPu2Tc9 at its relaxed geometry, computed with PBE.

Total magnetization ... 9.19 μB per cell
DFT formation energy ... 0.0528 eV per atom
ρ ... 12.0 Mg/m³

Lattice parameters (Å, degrees): 9.578 9.578 9.578 31.50 31.50 31.50
Positions (direct):
Tm: 0.000 0.000 0.000
Pu: 0.146 0.146 0.146
Pu: 0.854 0.854 0.854
Tc: 0.078 0.584 0.584
Tc: 0.335 0.335 0.335
Tc: 0.416 0.416 0.922
Tc: 0.416 0.922 0.416
Tc: 0.500 0.500 0.500
Tc: 0.584 0.078 0.584
Tc: 0.584 0.584 0.078
Tc: 0.665 0.665 0.665
Tc: 0.922 0.416 0.416

***

(20)
Crystalline AcTmMgRh at its relaxed geometry, computed with PBE.

Total magnetization ... 0.00 μB per cell
DFT formation energy ... -0.2657 eV per atom
ρ ... 8.5 Mg/m³

Lattice parameters (Å, degrees): 5.258 5.258 5.258 60.00 60.00 60.00
Positions (direct):
Ac: 0.000 0.000 0.000
Tm: 0.500 0.500 0.500
Mg: 0.750 0.750 0.750
Rh: 0.250 0.250 0.250